# 1
# Er5GaRu4

Er5GaRu4 after structural relaxation (GGA-PBE, Alexandria via LeMat-Bulk).

- total DFT energy (no corrections) (eV per atom) = -6.76
- magnetic moment (μB/f.u.) = 0.00

Cell: 3.4034 3.4034 17.1054 Å, 90.00 90.00 90.00°
Positions (direct):
1 Er 0.5000 0.5000 0.1110
2 Er 0.5000 0.5000 0.6948
3 Er 0.5000 0.5000 0.3052
4 Er 0.5000 0.5000 0.8890
5 Er 0.5000 0.5000 0.5000
6 Ru 0.0000 0.0000 0.5987
7 Ru 0.0000 0.0000 0.7974
8 Ru 0.0000 0.0000 0.4013
9 Ru 0.0000 0.0000 0.2026
10 Ga 0.0000 0.0000 0.0000

# 2
# La7HgBr12

La7HgBr12 after structural relaxation (GGA-PBE, Alexandria via LeMat-Bulk).

- total DFT energy (no corrections) (eV per atom) = -4.40
- magnetic moment (μB/f.u.) = 2.45
- formation energy (no corrections) (eV per atom) = -1.652

Cell: 9.9217 9.9217 9.9217 Å, 110.36 110.36 110.36°
Site moments in Bohr magnetons follow the coordinates.
Positions (direct):
1 La 0.1481 0.0643 0.3622  0.11
2 La 0.0643 0.3622 0.1481  0.11
3 La 0.6378 0.8519 0.9357  0.11
4 La 0.3622 0.1481 0.0643  0.11
5 La 0.9357 0.6378 0.8519  0.11
6 La 0.5000 0.5000 0.5000  0.51
7 La 0.8519 0.9357 0.6378  0.11
8 Br 0.1607 0.3973 0.4895  0.00
9 Br 0.7882 0.9254 0.3003  0.00
10 Br 0.2118 0.0746 0.6997  0.00
11 Br 0.6027 0.5105 0.8393  0.00
12 Br 0.9254 0.3003 0.7882  0.00
13 Br 0.8393 0.6027 0.5105  0.00
14 Br 0.0746 0.6997 0.2118  0.00
15 Br 0.5105 0.8393 0.6027  0.00
16 Br 0.3003 0.7882 0.9254  0.00
17 Br 0.4895 0.1607 0.3973  0.00
18 Br 0.3973 0.4895 0.1607  0.00
19 Br 0.6997 0.2118 0.0746  0.00
20 Hg 0.0000 0.0000 0.0000  0.00

# 3
# USiAu

USiAu after structural relaxation (GGA-PBE, Alexandria via LeMat-Bulk).

- total DFT energy (no corrections) (eV per atom) = -6.91
- magnetic moment (μB/f.u.) = 2.56
- formation energy (no corrections) (eV per atom) = -0.248

Cell: 5.6074 5.6074 6.9784 Å, 54.04 54.04 44.16°
Site moments in Bohr magnetons follow the coordinates.
Positions (direct):
1 Si 0.1463 0.1463 0.8153  -0.04
2 Si 0.8537 0.8537 0.1847  -0.04
3 U 0.4315 0.4315 0.8197  2.27
4 U 0.5685 0.5685 0.1803  2.27
5 Au 0.8308 0.8308 0.5910  0.00
6 Au 0.1692 0.1692 0.4090  0.00

# 4
# TiSbI2N

TiSbI2N after structural relaxation (GGA-PBE, Alexandria via LeMat-Bulk).

- total DFT energy (no corrections) (eV per atom) = -3.85
- magnetic moment (μB/f.u.) = 2.67
- formation energy (no corrections) (eV per atom) = 0.843
- energy relative to the lowest polymorph listed for this composition (meV per atom) = 782.2

Cell: 6.1936 6.1936 3.9766 Å, 90.00 90.00 90.00°
Site moments in Bohr magnetons follow the coordinates.
Positions (direct):
1 Sb 0.0000 0.0000 0.0000  0.00
2 I 0.5000 0.0000 0.0000  -0.03
3 I 0.0000 0.5000 0.0000  -0.03
4 Ti 0.5000 0.5000 0.5000  2.09
5 N 0.0000 0.0000 0.5000  -0.01

# 5
# InIrBr2

InIrBr2 after structural relaxation (GGA-PBE, Alexandria via LeMat-Bulk).

- total DFT energy (no corrections) (eV per atom) = -3.17
- magnetic moment (μB/f.u.) = 0.00
- formation energy (no corrections) (eV per atom) = 0.565
- energy relative to the lowest polymorph listed for this composition (meV per atom) = 622.5

Cell: 3.2839 5.8002 4.5897 Å, 90.00 90.00 90.00°
Positions (direct):
1 Br 0.5000 0.5000 0.0000
2 Br 0.0000 0.0000 0.0000
3 Ir 0.0000 0.5000 0.5000
4 In 0.5000 0.0000 0.5000

# 6
# ScAg2Rh

ScAg2Rh after structural relaxation (GGA-PBE, Alexandria via LeMat-Bulk).

- total DFT energy (no corrections) (eV per atom) = -4.97
- magnetic moment (μB/f.u.) = 0.00

Cell: 3.8097 3.8097 10.5808 Å, 79.63 79.63 90.00°
Positions (direct):
1 Sc 0.5000 0.5000 0.0000
2 Sc 0.2500 0.7500 0.5000
3 Ag 0.1181 0.6250 0.2500
4 Ag 0.3750 0.3681 0.7500
5 Ag 0.8750 0.8819 0.7500
6 Ag 0.6319 0.1250 0.2500
7 Rh 0.7500 0.2500 0.5000
8 Rh 0.0000 0.0000 0.0000

# 7
# La8SnIr3Br4

La8SnIr3Br4 after structural relaxation (GGA-PBE, Alexandria via LeMat-Bulk).

- total DFT energy (no corrections) (eV per atom) = -5.94
- magnetic moment (μB/f.u.) = 0.00
- formation energy (no corrections) (eV per atom) = -1.144

Cell: 8.6731 9.2608 8.6741 Å, 117.94 120.00 90.00°
Positions (direct):
1 La 0.2905 0.2984 0.0443
2 La 0.2462 0.7016 0.9557
3 La 0.7538 0.2984 0.0443
4 La 0.7095 0.7016 0.9557
5 La 0.2461 0.7014 0.4923
6 La 0.7338 0.7012 0.4676
7 La 0.2662 0.2988 0.5324
8 La 0.7539 0.2986 0.5077
9 Sn 0.0000 0.5000 0.0000
10 Br 0.0000 0.0000 0.5000
11 Br 0.5000 0.0000 0.5000
12 Br 0.0000 0.0000 0.0000
13 Br 0.5000 0.0000 0.0000
14 Ir 0.0000 0.5000 0.5000
15 Ir 0.5000 0.5000 0.0000
16 Ir 0.5000 0.5000 0.5000

# 8
# BaCdHg2

BaCdHg2 after structural relaxation (GGA-PBE, Alexandria via LeMat-Bulk).

- total DFT energy (no corrections) (eV per atom) = -1.23
- magnetic moment (μB/f.u.) = 0.00

Cell: 5.1083 4.6575 10.8656 Å, 102.38 90.00 90.00°
Positions (direct):
1 Hg 0.2500 0.5344 0.0687
2 Hg 0.7500 0.4656 0.9313
3 Hg 0.7500 0.7446 0.4892
4 Hg 0.2500 0.2554 0.5108
5 Cd 0.7500 0.3293 0.6586
6 Cd 0.2500 0.6707 0.3414
7 Ba 0.2500 0.8931 0.7862
8 Ba 0.7500 0.1069 0.2138

# 9
# Dy4MgAl3

Dy4MgAl3 after structural relaxation (GGA-PBE, Alexandria via LeMat-Bulk).

- total DFT energy (no corrections) (eV per atom) = -4.24
- magnetic moment (μB/f.u.) = 0.00
- energy relative to the lowest polymorph listed for this composition (meV per atom) = 0.0

Cell: 5.1472 7.2556 10.2949 Å, 90.00 90.00 90.00°
Positions (direct):
1 Al 0.4992 0.0000 0.7500
2 Al 0.0000 0.0000 0.5000
3 Al 0.5006 0.5000 0.2500
4 Al 0.5008 0.0000 0.2500
5 Al 0.0000 0.0000 0.0000
6 Al 0.4994 0.5000 0.7500
7 Dy 0.9994 0.2454 0.7500
8 Dy 0.5000 0.2454 0.0000
9 Dy 0.5000 0.7546 0.5000
10 Dy 0.5000 0.7546 0.0000
11 Dy 0.0006 0.2454 0.2500
12 Dy 0.5000 0.2454 0.5000
13 Dy 0.9994 0.7546 0.7500
14 Dy 0.0006 0.7546 0.2500
15 Mg 0.0000 0.5000 0.0000
16 Mg 0.0000 0.5000 0.5000

# 10
# Sr2AlInAg6

Sr2AlInAg6 after structural relaxation (GGA-PBE, Alexandria via LeMat-Bulk).

- total DFT energy (no corrections) (eV per atom) = -2.86
- magnetic moment (μB/f.u.) = 0.00

Cell: 9.0337 5.9206 7.0673 Å, 65.26 52.53 89.91°
Positions (direct):
1 Ag 0.5951 0.7454 0.5053
2 Ag 0.2723 0.7603 0.9784
3 Ag 0.7277 0.2397 0.0216
4 Ag 0.7282 0.7394 0.0199
5 Ag 0.4049 0.2546 0.4947
6 Ag 0.2718 0.2606 0.9801
7 Al 0.5000 0.5000 0.0000
8 Sr 0.2044 0.7445 0.5124
9 Sr 0.7956 0.2555 0.4876
10 In 0.0000 0.0000 0.0000

# 11
# Er4Sc3Co2

Er4Sc3Co2 after structural relaxation (GGA-PBE, Alexandria via LeMat-Bulk).

- total DFT energy (no corrections) (eV per atom) = -5.86
- magnetic moment (μB/f.u.) = 0.00

Cell: 3.4797 8.4541 8.0770 Å, 112.63 102.44 90.00°
Positions (direct):
1 Er 0.3741 0.1116 0.7483
2 Er 0.7700 0.3457 0.5401
3 Er 0.2300 0.6543 0.4599
4 Er 0.6259 0.8884 0.2517
5 Sc 0.9296 0.8074 0.8592
6 Sc 0.0000 0.5000 0.0000
7 Sc 0.0704 0.1926 0.1408
8 Co 0.3872 0.5674 0.7745
9 Co 0.6128 0.4326 0.2255

# 12
# LaGa3Pt

LaGa3Pt after structural relaxation (GGA-PBE, Alexandria via LeMat-Bulk).

- total DFT energy (no corrections) (eV per atom) = -4.42
- magnetic moment (μB/f.u.) = 0.00
- energy relative to the lowest polymorph listed for this composition (meV per atom) = 436.3

Cell: 4.8772 4.8772 4.8772 Å, 90.00 90.00 90.00°
Positions (direct):
1 Ga 0.0000 0.0000 0.5000
2 Ga 0.5000 0.0000 0.0000
3 Ga 0.0000 0.5000 0.0000
4 La 0.5000 0.5000 0.5000
5 Pt 0.0000 0.0000 0.0000

# 13
# BaNaCa6

BaNaCa6 after structural relaxation (GGA-PBE, Alexandria via LeMat-Bulk).

- total DFT energy (no corrections) (eV per atom) = -1.86
- magnetic moment (μB/f.u.) = 0.00
- energy relative to the lowest polymorph listed for this composition (meV per atom) = 0.0

Cell: 4.3399 8.9932 8.9932 Å, 90.00 90.00 90.00°
Positions (direct):
1 Ca 0.0000 0.2306 0.2306
2 Ca 0.5000 0.5000 0.0000
3 Ca 0.0000 0.2306 0.7694
4 Ca 0.0000 0.7694 0.2306
5 Ca 0.5000 0.0000 0.5000
6 Ca 0.0000 0.7694 0.7694
7 Ba 0.5000 0.5000 0.5000
8 Na 0.5000 0.0000 0.0000

# 14
# PPt2

PPt2 after structural relaxation (GGA-PBE, Alexandria via LeMat-Bulk).

- total DFT energy (no corrections) (eV per atom) = -6.19
- magnetic moment (μB/f.u.) = 0.00

Cell: 5.2516 7.1288 5.5572 Å, 90.00 90.00 111.78°
Positions (direct):
1 P 0.1584 0.8790 0.6320
2 P 0.8416 0.1210 0.3680
3 P 0.1584 0.3790 0.8680
4 P 0.8416 0.6210 0.1320
5 Pt 0.1525 0.9546 0.2271
6 Pt 0.1525 0.4546 0.2729
7 Pt 0.4256 0.6810 0.6883
8 Pt 0.8475 0.5454 0.7271
9 Pt 0.8475 0.0454 0.7729
10 Pt 0.5744 0.3190 0.3117
11 Pt 0.5744 0.8190 0.1883
12 Pt 0.4256 0.1810 0.8117

# 15
# Dy3Pa5N8

Dy3Pa5N8 after structural relaxation (GGA-PBE, Alexandria via LeMat-Bulk).

- total DFT energy (no corrections) (eV per atom) = -9.64
- magnetic moment (μB/f.u.) = 0.00
- formation energy (no corrections) (eV per atom) = -1.649

Cell: 6.9625 6.9625 6.9899 Å, 60.13 60.13 60.00°
Positions (direct):
1 N 0.7485 0.2504 0.7507
2 N 0.2504 0.2504 0.7507
3 N 0.2515 0.7496 0.2493
4 N 0.2537 0.2537 0.2388
5 N 0.7496 0.7496 0.2493
6 N 0.7463 0.7463 0.7612
7 N 0.2504 0.7485 0.7507
8 N 0.7496 0.2515 0.2493
9 Dy 0.5000 0.0000 0.5000
10 Dy 0.0000 0.0000 0.5000
11 Dy 0.0000 0.5000 0.5000
12 Pa 0.0000 0.5000 0.0000
13 Pa 0.0000 0.0000 0.0000
14 Pa 0.5000 0.0000 0.0000
15 Pa 0.5000 0.5000 0.0000
16 Pa 0.5000 0.5000 0.5000

# 16
# Ti2MoAuC

Ti2MoAuC after structural relaxation (GGA-PBE, Alexandria via LeMat-Bulk).

- total DFT energy (no corrections) (eV per atom) = -8.23
- magnetic moment (μB/f.u.) = 0.00

Cell: 4.2276 4.2276 4.0868 Å, 90.00 90.00 90.00°
Positions (direct):
1 Au 0.5000 0.5000 0.5000
2 Ti 0.0000 0.5000 0.0000
3 Ti 0.5000 0.0000 0.0000
4 C 0.0000 0.0000 0.0000
5 Mo 0.0000 0.0000 0.5000

# 17
# Ac3Al5S12

Ac3Al5S12 after structural relaxation (GGA-PBE, Alexandria via LeMat-Bulk).

- total DFT energy (no corrections) (eV per atom) = -5.54
- magnetic moment (μB/f.u.) = 0.00
- formation energy (no corrections) (eV per atom) = -1.513

Cell: 13.3732 13.3732 13.3732 Å, 109.47 109.47 109.47°
Positions (direct):
1 Al 0.0000 0.0000 0.5000
2 Al 0.7500 0.6250 0.3750
3 Al 0.8750 0.6250 0.7500
4 Al 0.3750 0.1250 0.7500
5 Al 0.3750 0.2500 0.1250
6 Al 0.5000 0.0000 0.0000
7 Al 0.1250 0.7500 0.3750
8 Al 0.0000 0.5000 0.0000
9 Al 0.6250 0.8750 0.2500
10 Al 0.1250 0.3750 0.2500
11 Al 0.0000 0.5000 0.5000
12 Al 0.8750 0.2500 0.6250
13 Al 0.2500 0.8750 0.1250
14 Al 0.7500 0.1250 0.8750
15 Al 0.0000 0.0000 0.0000
16 Al 0.5000 0.0000 0.5000
17 Al 0.2500 0.3750 0.6250
18 Al 0.5000 0.5000 0.0000
19 Al 0.5000 0.5000 0.5000
20 Al 0.6250 0.7500 0.8750
21 S 0.4806 0.8009 0.8865
22 S 0.5942 0.6135 0.4145
23 S 0.1135 0.6991 0.5194
24 S 0.0194 0.4058 0.8203
25 S 0.5855 0.8865 0.4058
26 S 0.5194 0.1991 0.1135
27 S 0.4145 0.3009 0.3203
28 S 0.6797 0.1991 0.5855
29 S 0.9058 0.0855 0.8865
30 S 0.4058 0.3865 0.5855
31 S 0.3203 0.8009 0.4145
32 S 0.3009 0.8865 0.9806
33 S 0.1991 0.6797 0.0855
34 S 0.0942 0.1797 0.4806
35 S 0.8009 0.3203 0.9145
36 S 0.6991 0.1135 0.0194
37 S 0.5942 0.9806 0.6797
38 S 0.9806 0.5942 0.1797
39 S 0.0942 0.9145 0.1135
40 S 0.0855 0.1797 0.1991
41 S 0.6135 0.5942 0.9145
42 S 0.9806 0.3865 0.3009
43 S 0.1135 0.4145 0.0942
44 S 0.4058 0.0194 0.3203
45 S 0.5855 0.6991 0.6797
46 S 0.9145 0.0942 0.6135
47 S 0.3865 0.4058 0.0855
48 S 0.8203 0.9145 0.3009
49 S 0.9058 0.8203 0.5194
50 S 0.3203 0.5194 0.4058
51 S 0.6991 0.5855 0.1797
52 S 0.5194 0.3203 0.9058
53 S 0.4145 0.1135 0.5942
54 S 0.8203 0.9058 0.0194
55 S 0.8865 0.5855 0.9058
56 S 0.6797 0.4806 0.5942
57 S 0.1797 0.0942 0.9806
58 S 0.9145 0.8203 0.8009
59 S 0.0855 0.9058 0.3865
60 S 0.8009 0.4806 0.3865
61 S 0.3009 0.4145 0.8203
62 S 0.1991 0.5194 0.6135
63 S 0.8865 0.3009 0.4806
64 S 0.4806 0.6797 0.0942
65 S 0.6135 0.0194 0.1991
66 S 0.3865 0.9806 0.8009
67 S 0.1797 0.0855 0.6991
68 S 0.0194 0.6135 0.6991
69 Ac 0.7500 0.3750 0.1250
70 Ac 0.2500 0.6250 0.8750
71 Ac 0.8750 0.1250 0.2500
72 Ac 0.1250 0.8750 0.7500
73 Ac 0.8750 0.7500 0.1250
74 Ac 0.2500 0.1250 0.3750
75 Ac 0.6250 0.3750 0.7500
76 Ac 0.3750 0.7500 0.6250
77 Ac 0.3750 0.6250 0.2500
78 Ac 0.1250 0.2500 0.8750
79 Ac 0.6250 0.2500 0.3750
80 Ac 0.7500 0.8750 0.6250

# 18
# DyThTa

DyThTa after structural relaxation (GGA-PBE, Alexandria via LeMat-Bulk).

- total DFT energy (no corrections) (eV per atom) = -7.65
- magnetic moment (μB/f.u.) = 0.00

Cell: 4.8191 6.0246 6.3058 Å, 90.81 112.47 90.00°
Positions (direct):
1 Dy 0.5743 0.7589 0.1486
2 Dy 0.4257 0.2411 0.8514
3 Th 0.8642 0.6491 0.7284
4 Th 0.1358 0.3509 0.2716
5 Ta 0.2396 0.8730 0.4793
6 Ta 0.7604 0.1270 0.5207

# 19
# Cs2Cu2BiS4

Cs2Cu2BiS4 after structural relaxation (GGA-PBE, Alexandria via LeMat-Bulk).

- total DFT energy (no corrections) (eV per atom) = -3.98
- magnetic moment (μB/f.u.) = 0.00
- formation energy (no corrections) (eV per atom) = -0.616

Cell: 4.0331 8.1402 7.8738 Å, 108.35 104.84 90.00°
Positions (direct):
1 S 0.5317 0.7824 0.0634
2 S 0.4683 0.2176 0.9366
3 S 0.8010 0.8502 0.6019
4 S 0.1990 0.1498 0.3981
5 Cu 0.3131 0.0112 0.6262
6 Cu 0.6869 0.9888 0.3738
7 Cs 0.8651 0.4507 0.7301
8 Cs 0.1349 0.5493 0.2699
9 Bi 0.0000 0.0000 0.0000